A | A plane-wave DFT calculation with PBE was carried out for crystalline RbInSeN2 at its relaxed geometry.

Summary:
As for the space group: P4/mmm, No. 123.

Cell: 5.2533 5.2533 6.6953 Å, 90.00 90.00 90.00°
Last column: nearest neighbours and their distance in Å.
Fractional coordinates of all 5 atoms:
In 0.5000 0.5000 0.5000  4 Se 3.71
Rb 0.0000 0.0000 0.0000  4 N 2.63
Se 0.0000 0.0000 0.5000  2 Rb 3.35, 4 In 3.71
N 0.5000 0.0000 0.0000  2 Rb 2.63
N 0.0000 0.5000 0.0000  2 Rb 2.63


B | A plane-wave DFT calculation with PBE was carried out for crystalline RbInSeN2 at its relaxed geometry.

Summary:
As for the space group: P4/mmm, No. 123.

Cell: 4.7112 4.7112 5.5730 Å, 90.00 90.00 90.00°
Last column: nearest neighbours and their distance in Å.
Fractional coordinates of all 5 atoms:
N 0.5000 0.0000 0.0000  2 In 2.36
N 0.0000 0.5000 0.0000  2 In 2.36
In 0.0000 0.0000 0.0000  4 N 2.36
Rb 0.5000 0.5000 0.5000  4 Se 3.33, 8 N 3.65
Se 0.0000 0.0000 0.5000  2 In 2.79


Of them, A has the lowest stability.


A | A plane-wave DFT calculation with PBE was carried out for crystalline RbInTe2N at its relaxed geometry.

Summary:
As for the space group: P4/mmm, No. 123.

Cell: 6.2964 6.2964 4.0822 Å, 90.00 90.00 90.00°
Last column: nearest neighbours and their distance in Å.
Fractional coordinates of all 5 atoms:
In 0.0000 0.0000 0.0000  2 N 2.04
N 0.0000 0.0000 0.5000  2 In 2.04
Te 0.5000 0.0000 0.0000  2 In 3.15
Rb 0.5000 0.5000 0.5000  8 Te 3.75, 2 Rb 4.08
Te 0.0000 0.5000 0.0000  2 In 3.15


B | A plane-wave DFT calculation with PBE was carried out for crystalline RbInTe2N at its relaxed geometry.

Summary:
As for the space group: P4/mmm, No. 123.

Cell: 6.6809 6.6809 5.3634 Å, 90.00 90.00 90.00°
Last column: nearest neighbours and their distance in Å.
Fractional coordinates of all 5 atoms:
In 0.5000 0.5000 0.5000  8 Te 4.28, 4 N 4.72
N 0.0000 0.0000 0.5000  2 Rb 2.68
Rb 0.0000 0.0000 0.0000  2 N 2.68
Te 0.5000 0.0000 0.0000  2 Rb 3.34
Te 0.0000 0.5000 0.0000  2 Rb 3.34


Of them, B has the lowest stability.


A | A plane-wave DFT calculation with PBE was carried out for crystalline RbInTeN2 at its relaxed geometry.

Summary:
As for the space group: P4/mmm, No. 123.

Cell: 5.2115 5.2115 7.3701 Å, 90.00 90.00 90.00°
Last column: nearest neighbours and their distance in Å.
Fractional coordinates of all 5 atoms:
Rb 0.0000 0.0000 0.0000  4 N 2.61
Te 0.0000 0.0000 0.5000  2 Rb 3.69, 4 In 3.69
N 0.0000 0.5000 0.0000  2 Rb 2.61
In 0.5000 0.5000 0.5000  4 Te 3.69
N 0.5000 0.0000 0.0000  2 Rb 2.61


B | A plane-wave DFT calculation with PBE was carried out for crystalline RbInTeN2 at its relaxed geometry.

Summary:
As for the space group: P4/mmm, No. 123.

Cell: 4.8693 4.8693 5.8961 Å, 90.00 90.00 90.00°
Last column: nearest neighbours and their distance in Å.
Fractional coordinates of all 5 atoms:
In 0.0000 0.0000 0.0000  4 N 2.43
N 0.5000 0.0000 0.0000  2 In 2.43
Te 0.0000 0.0000 0.5000  2 In 2.95
N 0.0000 0.5000 0.0000  2 In 2.43
Rb 0.5000 0.5000 0.5000  4 Te 3.44, 8 N 3.82


Of them, A has the lowest stability.